(1)
Entry from Alexandria via LeMat-Bulk: an optimized crystal structure of SmCd4Hg7 (PBE).

```
data_SmCd4Hg7
_chemical_formula_sum 'Sm1 Cd4 Hg7'
_symmetry_space_group_name_H-M 'P 1'
_symmetry_Int_Tables_number 1
_cell_length_a 5.959
_cell_length_b 6.509
_cell_length_c 7.949
_cell_angle_alpha 102.19
_cell_angle_beta 93.45
_cell_angle_gamma 99.48
loop_
_symmetry_equiv_pos_as_xyz
'x,y,z'
loop_
_atom_site_label
_atom_site_type_symbol
_atom_site_fract_x
_atom_site_fract_y
_atom_site_fract_z
Sm1 Sm 0.000 0.000 0.000
Cd1 Cd 0.230 0.253 0.686
Cd2 Cd 0.323 0.425 0.340
Cd3 Cd 0.677 0.575 0.660
Cd4 Cd 0.770 0.747 0.314
Hg1 Hg 0.000 0.500 0.000
Hg2 Hg 0.177 0.738 0.651
Hg3 Hg 0.291 0.935 0.339
Hg4 Hg 0.480 0.752 0.987
Hg5 Hg 0.520 0.248 0.013
Hg6 Hg 0.709 0.065 0.661
Hg7 Hg 0.823 0.262 0.349
```

- Formation energy from the elements: -0.106 eV/atom
- Offset from the most stable computed form: 0 meV/atom
- VASP energy: -0.9807 eV/atom



(2)
Entry from Alexandria via LeMat-Bulk: an optimized crystal structure of CdIn6Br8 (PBE).

```
data_CdIn6Br8
_chemical_formula_sum 'Cd1 In6 Br8'
_symmetry_space_group_name_H-M 'P 1'
_symmetry_Int_Tables_number 1
_cell_length_a 8.551
_cell_length_b 8.551
_cell_length_c 8.551
_cell_angle_alpha 71.42
_cell_angle_beta 71.42
_cell_angle_gamma 71.42
loop_
_symmetry_equiv_pos_as_xyz
'x,y,z'
loop_
_atom_site_label
_atom_site_type_symbol
_atom_site_fract_x
_atom_site_fract_y
_atom_site_fract_z
Cd1 Cd 0.000 0.000 0.000
In1 In 0.044 0.469 0.707
In2 In 0.293 0.956 0.531
In3 In 0.469 0.707 0.044
In4 In 0.531 0.293 0.956
In5 In 0.707 0.044 0.469
In6 In 0.956 0.531 0.293
Br1 Br 0.084 0.850 0.318
Br2 Br 0.150 0.682 0.916
Br3 Br 0.318 0.084 0.850
Br4 Br 0.325 0.325 0.325
Br5 Br 0.675 0.675 0.675
Br6 Br 0.682 0.916 0.150
Br7 Br 0.850 0.318 0.084
Br8 Br 0.916 0.150 0.682
```

- VASP energy: -2.7314 eV/atom



(3)
Entry from Alexandria via LeMat-Bulk: an optimized crystal structure of Zr2AgAu (PBE).

```
data_Zr2AgAu
_chemical_formula_sum 'Zr2 Ag1 Au1'
_symmetry_space_group_name_H-M 'P 1'
_symmetry_Int_Tables_number 1
_cell_length_a 3.531
_cell_length_b 3.531
_cell_length_c 6.508
_cell_angle_alpha 90.00
_cell_angle_beta 90.00
_cell_angle_gamma 90.00
loop_
_symmetry_equiv_pos_as_xyz
'x,y,z'
loop_
_atom_site_label
_atom_site_type_symbol
_atom_site_fract_x
_atom_site_fract_y
_atom_site_fract_z
Zr1 Zr 0.000 0.000 0.000
Zr2 Zr 0.500 0.500 0.292
Ag1 Ag 0.000 0.000 0.530
Au1 Au 0.500 0.500 0.772
```

- Formation energy from the elements: -0.328 eV/atom
- VASP energy: -6.1345 eV/atom



(4)
Entry from Alexandria via LeMat-Bulk: an optimized crystal structure of Cs2IrOsCl6 (PBE).

```
data_Cs2IrOsCl6
_chemical_formula_sum 'Cs2 Ir1 Os1 Cl6'
_symmetry_space_group_name_H-M 'P 1'
_symmetry_Int_Tables_number 1
_cell_length_a 7.091
_cell_length_b 7.091
_cell_length_c 7.091
_cell_angle_alpha 119.93
_cell_angle_beta 119.93
_cell_angle_gamma 90.12
loop_
_symmetry_equiv_pos_as_xyz
'x,y,z'
loop_
_atom_site_label
_atom_site_type_symbol
_atom_site_fract_x
_atom_site_fract_y
_atom_site_fract_z
Cs1 Cs 0.250 0.750 0.500
Cs2 Cs 0.750 0.250 0.500
Ir1 Ir 0.000 0.000 0.000
Os1 Os 0.500 0.500 0.000
Cl1 Cl 0.253 0.253 0.000
Cl2 Cl 0.253 0.253 0.507
Cl3 Cl 0.253 0.747 0.000
Cl4 Cl 0.747 0.253 0.000
Cl5 Cl 0.747 0.747 0.000
Cl6 Cl 0.747 0.747 0.493
```

- VASP energy: -3.8937 eV/atom